# 1
A relaxed structure of Y2ZrTa, computed with PBE-GGA.

Properties
* raw total energy: -31.9 eV for the cell shown
* calculated volume: 99.6 Å³/cell

Cell lengths 5.735, 5.735, 5.673 Å; angles 99.72, 99.72, 32.85 degrees
Fractional coordinates of all 4 atoms:
Y  0.241  0.241  0.244
Y  0.759  0.759  0.756
Zr  0.000  0.000  0.500
Ta  0.500  0.500  0.000


# 2
A relaxed structure of Pu2Bi5Pb, computed with PBE-GGA.

Properties
* raw total energy: -53.6 eV for the cell shown
* calculated volume: 239.0 Å³/cell

Cell lengths 6.923, 6.923, 4.990 Å; angles 90.00, 90.00, 92.05 degrees
Fractional coordinates of all 8 atoms:
Pu  0.244  0.756  0.000
Pu  0.756  0.244  0.000
Bi  0.000  0.000  0.500
Bi  0.000  0.500  0.500
Bi  0.254  0.254  0.000
Bi  0.500  0.000  0.500
Bi  0.746  0.746  0.000
Pb  0.500  0.500  0.500


# 3
A relaxed structure of BaSrTiS4, computed with PBE-GGA.

Properties
* formation energy (no corrections): -1.8056 eV per atom
* raw total energy: -81.3 eV for the cell shown
* calculated volume: 389.7 Å³/cell

Cell lengths 6.914, 6.819, 8.702 Å; angles 90.00, 108.18, 90.00 degrees
Fractional coordinates of all 14 atoms:
Ba  0.226  0.250  0.431
Ba  0.774  0.750  0.569
Sr  0.281  0.250  0.951
Sr  0.719  0.750  0.049
Ti  0.274  0.750  0.192
Ti  0.726  0.250  0.808
S  0.077  0.750  0.357
S  0.093  0.750  0.929
S  0.496  0.004  0.248
S  0.496  0.496  0.248
S  0.504  0.504  0.752
S  0.504  0.996  0.752
S  0.907  0.250  0.071
S  0.923  0.250  0.643


# 4
A relaxed structure of CsSeS6, computed with PBE-GGA.

Properties
* formation energy (no corrections): -0.1487 eV per atom
* raw total energy: -30.3 eV for the cell shown
* calculated volume: 362.1 Å³/cell

Cell lengths 5.992, 6.780, 9.458 Å; angles 86.39, 89.20, 70.81 degrees
Fractional coordinates of all 8 atoms:
Cs  0.000  0.000  0.000
Se  0.500  0.500  0.000
S  0.017  0.460  0.765
S  0.037  0.619  0.430
S  0.292  0.326  0.161
S  0.708  0.674  0.839
S  0.963  0.381  0.570
S  0.983  0.540  0.235


# 5
A relaxed structure of Ba6Au, computed with PBE-GGA.

Properties
* raw total energy: -65.4 eV for the cell shown
* calculated volume: 1647.6 Å³/cell

Cell lengths 15.056, 13.793, 7.934 Å; angles 90.00, 90.00, 90.00 degrees
Fractional coordinates of all 28 atoms:
Ba  0.001  0.082  0.245
Ba  0.001  0.418  0.245
Ba  0.004  0.250  0.744
Ba  0.246  0.750  0.914
Ba  0.248  0.583  0.415
Ba  0.248  0.917  0.415
Ba  0.252  0.083  0.915
Ba  0.252  0.417  0.915
Ba  0.254  0.250  0.414
Ba  0.496  0.750  0.244
Ba  0.499  0.582  0.745
Ba  0.499  0.918  0.745
Ba  0.501  0.082  0.255
Ba  0.501  0.418  0.255
Ba  0.504  0.250  0.756
Ba  0.746  0.750  0.586
Ba  0.748  0.583  0.085
Ba  0.748  0.917  0.085
Ba  0.752  0.083  0.585
Ba  0.752  0.417  0.585
Ba  0.754  0.250  0.086
Ba  0.996  0.750  0.256
Ba  0.999  0.582  0.755
Ba  0.999  0.918  0.755
Au  0.126  0.250  0.081
Au  0.374  0.750  0.581
Au  0.626  0.250  0.419
Au  0.874  0.750  0.919


# 6
A relaxed structure of TmZr2Os, computed with PBE-GGA.

Properties
* raw total energy: -134.8 eV for the cell shown
* calculated volume: 366.0 Å³/cell

Cell lengths 6.928, 8.802, 6.002 Å; angles 90.00, 90.00, 90.00 degrees
Fractional coordinates of all 16 atoms:
Tm  0.027  0.250  0.125
Tm  0.473  0.750  0.625
Tm  0.527  0.250  0.375
Tm  0.973  0.750  0.875
Zr  0.177  0.058  0.660
Zr  0.177  0.442  0.660
Zr  0.323  0.558  0.160
Zr  0.323  0.942  0.160
Zr  0.677  0.058  0.840
Zr  0.677  0.442  0.840
Zr  0.823  0.558  0.340
Zr  0.823  0.942  0.340
Os  0.114  0.750  0.414
Os  0.386  0.250  0.914
Os  0.614  0.750  0.086
Os  0.886  0.250  0.586